[1]
Re2MoCl: relaxed, PBE-GGA.

DFT total energy = -8.751 eV/atom
formation energy without anion corrections = 642.1 meV per atom
magnetic moment = 0.000 μB per cell
density = 13.1 g/cm3

Cell: 2.803 2.803 8.914 Å, 90.00 90.00 114.72°
Element x y z (fractional)
Re  0.000  0.000  0.242
Re  0.000  0.000  0.758
Mo  0.500  0.500  0.000
Cl  0.500  0.500  0.500

=====

[2]
RbSnTe2I: relaxed, PBE-GGA.

DFT total energy = -2.966 eV/atom
formation energy without anion corrections = -405.1 meV per atom
magnetic moment = 0.000 μB per cell
density = 4.6 g/cm3

Cell: 5.785 5.785 6.390 Å, 90.00 90.00 90.00°
Element x y z (fractional)
Rb  0.000  0.000  0.000
Sn  0.500  0.500  0.500
Te  0.000  0.500  0.500
Te  0.500  0.000  0.500
I  0.500  0.500  0.000

=====

> What is the formula in the first record?

Re2MoCl

=====

> Number 1 is which compound?

Re2MoCl

=====

> Among the records above, which one has the highest DFT total energy?

RbSnTe2I